No. 1
Crystalline VSeO5 at its relaxed geometry, computed with PBE+U.

abc: 7.534 7.818 7.181
angles: 90.00 118.50 90.00
Space group C2/c (No. 15)
One atom of each set of equivalent atoms:
1 V 0.000 0.000 0.000 [4 per cell]
2 Se 0.000 0.374 0.250 [4 per cell]
3 O 0.000 0.044 0.750 [4 per cell]
4 O 0.008 0.257 0.450 [8 per cell]
5 O 0.194 0.490 0.844 [8 per cell]

Values from the calculation:
Raw total energy, eV/atom: -6.236

***

No. 2
Crystalline V3SeO at its relaxed geometry, computed with PBE+U.

abc: 4.031 4.031 4.031
angles: 90.00 90.00 90.00
Space group Pm-3m (No. 221)
One atom of each set of equivalent atoms:
1 V 0.000 0.000 0.500 [3 per cell]
2 Se 0.500 0.500 0.500 [1 per cell]
3 O 0.000 0.000 0.000 [1 per cell]

Values from the calculation:
Energy above the lowest structure with this stoichiometry, meV per atom: 0

***

No. 3
Crystalline VSeO4 at its relaxed geometry, computed with PBE+U.

abc: 6.042 6.144 6.437
angles: 114.29 94.98 98.89
Space group P1 (No. 1)
One atom of each set of equivalent atoms:
1 V 0.000 0.000 0.000 [1 per cell]
2 V 0.477 0.030 0.826 [1 per cell]
3 Se 0.158 0.486 0.686 [1 per cell]
4 Se 0.327 0.546 0.116 [1 per cell]
5 O 0.096 0.360 0.145 [1 per cell]
6 O 0.302 0.988 0.032 [1 per cell]
7 O 0.333 0.076 0.625 [1 per cell]
8 O 0.397 0.663 0.660 [1 per cell]
9 O 0.540 0.387 0.048 [1 per cell]
10 O 0.770 0.037 0.810 [1 per cell]
11 O 0.892 0.956 0.204 [1 per cell]
12 O 0.956 0.663 0.754 [1 per cell]

Values from the calculation:
Energy above the lowest structure with this stoichiometry, meV per atom: 97